1.
The following is a PBE-GGA calculation of an optimized crystal structure of CuReTc2, from Alexandria via LeMat-Bulk.

The structure belongs to space group Fm-3m (No. 225); the cell edges are 6.1054, 6.1054 and 6.1054 Å and the angles 90.00°, 90.00° and 90.00°. The asymmetric unit holds Cu at (0.0000, 0.0000, 0.0000), Re at (0.0000, 0.0000, 0.5000) and Tc at (0.2500, 0.2500, 0.2500).

For the formation energy, the calculation gives 224 meV/atom. The calculation puts the energy above the most stable polymorph in this dataset at 79.8 meV per atom.

2.
The following is a PBE-GGA calculation of an optimized crystal structure of CeHo2H8, from Alexandria via LeMat-Bulk.

The structure belongs to space group Immm (No. 71); the cell edges are 3.6501, 5.3218 and 10.9774 Å and the angles 90.00°, 90.00° and 90.00°. The asymmetric unit holds Ce at (0.0000, 0.0000, 0.0000), Ho at (0.0000, 0.0000, 0.3302), H at (0.0000, 0.2168, 0.5000), H at (0.0000, 0.2662, 0.1659) and H at (0.0000, 0.5000, 0.3452).

The total energy comes out at -4.4060 eV per atom.

3.
The following is a PBE-GGA calculation of an optimized crystal structure of Pm4Sn2Br, from Alexandria via LeMat-Bulk.

The structure belongs to space group P2_1/m (No. 11); the cell edges are 7.0789, 6.8774 and 9.6457 Å and the angles 90.00°, 109.85° and 90.00°. The asymmetric unit holds Pm at (0.0249, 0.0050, 0.2519), Pm at (0.4286, 0.2500, 0.1439), Pm at (0.4369, 0.2500, 0.5648), Sn at (0.1934, 0.7500, 0.0442), Sn at (0.1978, 0.7500, 0.5532) and Br at (0.3254, 0.2500, 0.8268).

The total energy comes out at -4.7854 eV per atom.

4.
The following is a PBE-GGA calculation of an optimized crystal structure of Ba2PmI2N2, from Alexandria via LeMat-Bulk.

The structure belongs to space group I4/mmm (No. 139); the cell edges are 4.7245, 4.7245 and 19.0479 Å and the angles 90.00°, 90.00° and 90.00°. The asymmetric unit holds Ba at (0.0000, 0.0000, 0.0955), Pm at (0.0000, 0.0000, 0.5000), I at (0.0000, 0.0000, 0.3256) and N at (0.0000, 0.5000, 0.0000).

The total energy comes out at -5.2066 eV per atom.

5.
The following is a PBE-GGA calculation of an optimized crystal structure of Hf2ScP3, from Alexandria via LeMat-Bulk.

The structure belongs to space group Pnma (No. 62); the cell edges are 7.4342, 5.2504 and 11.1404 Å and the angles 90.00°, 90.00° and 90.00°. The asymmetric unit holds Hf at (0.1238, 0.2500, 0.2484), Hf at (0.1251, 0.2500, 0.5835), Sc at (0.1254, 0.2500, 0.9180), P at (0.1241, 0.7500, 0.5836), P at (0.1250, 0.7500, 0.2499) and P at (0.1271, 0.7500, 0.9161).

For the formation energy, the calculation gives -1352 meV/atom.

6.
The following is a PBE-GGA calculation of an optimized crystal structure of Cs2HfMnTe4, from Alexandria via LeMat-Bulk.

The structure belongs to space group Fddd (No. 70, origin choice 2); the cell edges are 6.6102, 15.6437 and 27.8200 Å and the angles 90.00°, 90.00° and 90.00°. The asymmetric unit holds Cs at (0.1250, 0.1250, 0.3045), Hf at (0.1250, 0.1250, 0.1250), Mn at (0.1250, 0.1250, 0.6250) and Te at (0.1249, 0.2758, 0.4301).

The total energy comes out at -5.0073 eV per atom.